# 1
ZrTaNb2N: relaxed, PBE.

Symmetry   No. 123
Energy above the most stable polymorph in this dataset   11.4 meV/atom
Uncorrected formation energy   -0.46 eV per atom

Geometry as POSCAR:
```
ZrTaNb2N
1.0
4.273 0.000 0.000
0.000 4.273 0.000
0.000 0.000 4.593
Ta Zr Nb N
1 1 2 1
Direct
0.500 0.500 0.500 Ta
0.000 0.000 0.500 Zr
0.500 0.000 0.000 Nb
0.000 0.500 0.000 Nb
0.000 0.000 0.000 N
```



# 2
Ce3Tl2S6: relaxed, PBE.

Symmetry   No. 12
Uncorrected formation energy   -1.53 eV per atom

Geometry as POSCAR:
```
Ce3Tl2S6
1.0
6.922 0.000 2.058
3.461 6.252 1.029
0.179 0.000 7.817
S Ce Tl
6 3 2
Direct
0.736 0.000 0.804 S
0.398 0.663 0.805 S
0.939 0.663 0.195 S
0.061 0.337 0.805 S
0.602 0.337 0.195 S
0.264 0.000 0.196 S
0.666 0.669 0.000 Ce
0.000 0.000 0.000 Ce
0.334 0.331 0.000 Ce
0.833 0.334 0.500 Tl
0.167 0.666 0.500 Tl
```



# 3
La2NbTl: relaxed, PBE.

Symmetry   No. 166
ΔH_f (0 K)   0.4439 eV per atom
Energy above the most stable polymorph in this dataset   240.9 meV/atom

Geometry as POSCAR:
```
La2NbTl
1.0
-3.107 -1.081 -0.120
-0.611 -3.219 -0.315
-1.298 -2.572 11.614
La Tl Nb
2 1 1
Direct
0.918 0.918 0.246 La
0.082 0.082 0.754 La
0.500 0.500 0.500 Tl
0.000 0.000 0.000 Nb
```



# 4
TcRuF2: relaxed, PBE.

Symmetry   No. 166
Energy above the most stable polymorph in this dataset   0.0 meV/atom
Uncorrected formation energy   -0.45 eV per atom

Geometry as POSCAR:
```
TcRuF2
1.0
4.815 -5.210 4.387
4.179 -6.822 2.361
6.226 -5.129 2.126
F Ru Tc
2 1 1
Direct
0.919 0.919 0.919 F
0.081 0.081 0.081 F
0.500 0.500 0.500 Ru
0.000 0.000 0.000 Tc
```



# 5
Ru2IBr: relaxed, PBE.

Symmetry   No. 225
Energy above the most stable polymorph in this dataset   808.5 meV/atom
Uncorrected formation energy   1.03 eV per atom

Geometry as POSCAR:
```
Ru2IBr
1.0
0.000 3.310 3.310
3.310 0.000 3.310
3.310 3.310 0.000
Ru Br I
2 1 1
Direct
0.250 0.250 0.250 Ru
0.750 0.750 0.750 Ru
0.000 0.000 0.000 Br
0.500 0.500 0.500 I
```



# 6
RbCa2Al: relaxed, PBE.

Symmetry   No. 166
ΔH_f (0 K)   0.1701 eV per atom

Geometry as POSCAR:
```
RbCa2Al
1.0
4.031 0.000 0.000
2.016 3.491 0.000
2.016 1.164 12.607
Al Ca Rb
1 2 1
Direct
0.500 0.500 0.500 Al
0.111 0.111 0.667 Ca
0.889 0.889 0.333 Ca
0.000 0.000 0.000 Rb
```



Spin magnetization, record by record: 0.0 2.0 0.0 1.5 1.7 0.0 μB/cell